Record 1
DFT (PBE-GGA) results for crystalline Cr2FeOs at its relaxed geometry.

## Properties
**DFT formation energy**: 0.620 eV per formula unit
**Energy above the lowest structure with this stoichiometry**: 67.2 meV/atom
**Raw total energy**: -38.32 eV/cell

a = 4.456 Å, b = 4.456 Å, c = 4.470 Å
α = 80.46°, β = 80.46°, γ = 34.07°
Each line ends with the local moment (μB).
Fractional positions:
Os  0.245  0.245  0.252  -0.03
Fe  0.499  0.499  0.510  0.97
Cr  0.000  0.000  0.998  -0.19
Cr  0.756  0.756  0.741  -0.21

---

Record 2
DFT (PBE-GGA) results for crystalline Cr2FeOs at its relaxed geometry.

## Properties
**DFT formation energy**: 3.123 eV per formula unit
**Energy above the lowest structure with this stoichiometry**: 693.0 meV/atom
**Raw total energy**: -71.63 eV/cell

a = 3.613 Å, b = 3.613 Å, c = 8.514 Å
α = 77.75°, β = 77.75°, γ = 90.00°
Fractional positions:
Cr  0.158  0.625  0.250
Cr  0.875  0.842  0.750
Cr  0.592  0.125  0.250
Cr  0.375  0.408  0.750
Fe  0.500  0.500  0.000
Fe  0.250  0.750  0.500
Os  0.750  0.250  0.500
Os  0.000  0.000  0.000

---

Record 3
DFT (PBE-GGA) results for crystalline Cr2FeOs at its relaxed geometry.

## Properties
**DFT formation energy**: 0.684 eV per formula unit
**Energy above the lowest structure with this stoichiometry**: 83.2 meV/atom
**Raw total energy**: -38.25 eV/cell

a = 4.875 Å, b = 4.819 Å, c = 2.547 Å
α = 80.55°, β = 78.58°, γ = 116.97°
Each line ends with the local moment (μB).
Fractional positions:
Cr  0.000  0.000  0.000  0.06
Cr  0.500  0.000  0.500  0.06
Fe  0.000  0.500  0.500  2.34
Os  0.500  0.500  0.000  0.08

---

Record 4
DFT (PBE-GGA) results for crystalline CrFe6Os at its relaxed geometry.

## Properties
**DFT formation energy**: 0.780 eV per formula unit
**Raw total energy**: -283.40 eV/cell

a = 6.176 Å, b = 6.176 Å, c = 9.976 Å
α = 90.00°, β = 90.00°, γ = 108.05°
Each line ends with the local moment (μB).
Fractional positions:
Fe  0.377  0.128  0.377  1.24
Fe  0.749  0.251  0.997  -1.33
Fe  0.377  0.128  0.123  1.24
Fe  0.873  0.622  0.873  1.36
Fe  0.749  0.251  0.503  -1.33
Fe  0.872  0.623  0.123  1.24
Fe  0.251  0.749  0.503  -1.33
Fe  0.378  0.127  0.627  1.36
Fe  0.127  0.378  0.627  1.36
Fe  0.872  0.623  0.377  1.24
Fe  0.622  0.873  0.873  1.36
Fe  0.500  0.500  0.750  1.21
Fe  0.251  0.749  0.997  -1.33
Fe  0.623  0.872  0.123  1.24
Fe  0.623  0.872  0.377  1.24
Fe  0.128  0.377  0.377  1.24
Fe  0.500  0.500  0.250  -1.62
Fe  0.128  0.377  0.123  1.24
Fe  0.873  0.622  0.627  1.36
Fe  0.000  0.000  0.750  0.47
Fe  0.378  0.127  0.873  1.36
Fe  0.622  0.873  0.627  1.36
Fe  0.000  0.000  0.250  -1.78
Fe  0.127  0.378  0.873  1.36
Os  0.000  0.000  0.502  -0.14
Os  0.251  0.749  0.250  -0.13
Os  0.749  0.251  0.250  -0.13
Os  0.000  0.000  0.998  -0.14
Cr  0.751  0.249  0.750  -1.24
Cr  0.500  0.500  0.502  -1.23
Cr  0.500  0.500  0.998  -1.23
Cr  0.249  0.751  0.750  -1.24

---

Record 5
DFT (PBE-GGA) results for crystalline Cr2FeOs at its relaxed geometry.

## Properties
**DFT formation energy**: 0.612 eV per formula unit
**Energy above the lowest structure with this stoichiometry**: 65.1 meV/atom
**Raw total energy**: -38.33 eV/cell

a = 4.048 Å, b = 2.559 Å, c = 4.886 Å
α = 78.36°, β = 90.00°, γ = 90.00°
Each line ends with the local moment (μB).
Fractional positions:
Os  0.500  0.766  0.751  -0.05
Fe  0.000  0.444  0.491  2.13
Cr  0.500  0.241  0.250  0.11
Cr  0.000  0.049  0.009  0.02

---

Record 6
DFT (PBE-GGA) results for crystalline CrFeOs at its relaxed geometry.

## Properties
**DFT formation energy**: 0.387 eV per formula unit
**Energy above the lowest structure with this stoichiometry**: 64.8 meV/atom
**Raw total energy**: -28.93 eV/cell

a = 4.494 Å, b = 4.494 Å, c = 4.494 Å
α = 146.30°, β = 131.32°, γ = 60.51°
Each line ends with the local moment (μB).
Fractional positions:
Fe  0.334  0.334  0.000  1.69
Cr  0.000  0.000  0.000  -0.13
Os  0.667  0.667  0.000  0.05

---

Record 7
DFT (PBE-GGA) results for crystalline CrFe2Os at its relaxed geometry.

## Properties
**DFT formation energy**: 0.402 eV per formula unit
**Raw total energy**: -37.38 eV/cell

a = 4.439 Å, b = 4.439 Å, c = 2.584 Å
α = 90.00°, β = 90.00°, γ = 109.77°
Each line ends with the local moment (μB).
Fractional positions:
Fe  0.500  0.500  0.000  1.10
Fe  0.000  0.000  0.000  1.10
Os  0.500  0.000  0.500  -0.09
Cr  0.000  0.500  0.500  -1.29

---

Record 8
DFT (PBE-GGA) results for crystalline Cr2FeOs2 at its relaxed geometry.

## Properties
**DFT formation energy**: 1.619 eV per formula unit
**Energy above the lowest structure with this stoichiometry**: 3.8 meV/atom
**Raw total energy**: -97.10 eV/cell

a = 7.068 Å, b = 7.068 Å, c = 2.735 Å
α = 90.00°, β = 90.00°, γ = 90.00°
Each line ends with the local moment (μB).
Fractional positions:
Os  0.839  0.339  0.500  0.02
Os  0.161  0.661  0.500  0.02
Os  0.339  0.161  0.500  0.00
Os  0.661  0.839  0.500  0.00
Cr  0.364  0.864  0.000  -0.28
Cr  0.636  0.136  0.000  -0.28
Cr  0.864  0.636  0.000  -0.27
Cr  0.136  0.364  0.000  -0.27
Fe  0.000  0.000  0.000  2.65
Fe  0.500  0.500  0.000  2.65

---

> Among the records above, which one has the lowest DFT formation energy?

CrFeOs